# 1
Below is crystalline HgMoPCl2 at its relaxed geometry, with properties calculated at the PBE level.

Lattice parameters (Å, degrees): 5.2422 5.2422 5.0599 90.00 90.00 90.00
Last column: nearest neighbours and their distance in Å.
Space group P4/mmm (No. 123)
Inequivalent atoms, fractional coordinates:
Hg 0.0000 0.0000 0.0000 x1  2 P 2.53, 4 Cl 2.62
Mo 0.5000 0.5000 0.5000 x1  8 Cl 3.64, 4 P 3.71
P 0.0000 0.0000 0.5000 x1  2 Hg 2.53
Cl 0.0000 0.5000 0.0000 x2  2 Hg 2.62

Results
formation energy from raw total energies: 501.1 kJ/mol of formula units
calculated volume: 139 Å³ per cell
D(E_F): 1.95 states/eV/f.u.

***

# 2
Below is crystalline Hg2MoPCl at its relaxed geometry, with properties calculated at the PBE level.

Lattice parameters (Å, degrees): 5.1818 5.1818 4.8950 90.00 90.00 90.00
Last column: nearest neighbours and their distance in Å.
Space group P4/mmm (No. 123)
Inequivalent atoms, fractional coordinates:
Hg 0.0000 0.5000 0.0000 x2  2 P 2.59
Mo 0.0000 0.0000 0.5000 x1  8 Hg 3.56, 4 Cl 3.66
P 0.5000 0.5000 0.0000 x1  2 Cl 2.45, 4 Hg 2.59
Cl 0.5000 0.5000 0.5000 x1  2 P 2.45

Results
formation energy from raw total energies: 480.6 kJ/mol of formula units
calculated volume: 131 Å³ per cell
D(E_F): 3.00 states/eV/f.u.

***

# 3
Below is crystalline HgMoP2Cl at its relaxed geometry, with properties calculated at the PBE level.

Lattice parameters (Å, degrees): 4.6953 4.6953 5.0775 90.00 90.00 90.00
Last column: nearest neighbours and their distance in Å.
Space group P4/mmm (No. 123)
Inequivalent atoms, fractional coordinates:
Hg 0.0000 0.0000 0.0000 x1  4 Cl 3.32, 8 P 3.46
Mo 0.5000 0.5000 0.5000 x1  4 P 2.35, 2 Cl 2.54
P 0.0000 0.5000 0.5000 x2  2 Mo 2.35
Cl 0.5000 0.5000 0.0000 x1  2 Mo 2.54

Results
formation energy from raw total energies: 98.9 kJ/mol of formula units
calculated volume: 112 Å³ per cell
D(E_F): 2.98 states/eV/f.u.

***

# 4
Below is crystalline HgMoP2Cl at its relaxed geometry, with properties calculated at the PBE level.

Lattice parameters (Å, degrees): 4.9417 4.9417 5.2586 90.00 90.00 90.00
Last column: nearest neighbours and their distance in Å.
Space group P4/mmm (No. 123)
Inequivalent atoms, fractional coordinates:
Hg 0.0000 0.0000 0.0000 x1  4 P 2.47, 2 Cl 2.63
Mo 0.5000 0.5000 0.5000 x1  4 Cl 3.49, 8 P 3.61
P 0.0000 0.5000 0.0000 x2  2 Hg 2.47
Cl 0.0000 0.0000 0.5000 x1  2 Hg 2.63

Results
formation energy from raw total energies: 711.5 kJ/mol of formula units
calculated volume: 128 Å³ per cell
D(E_F): 3.47 states/eV/f.u.

***

# 5
Below is crystalline HgMoPCl2 at its relaxed geometry, with properties calculated at the PBE level.

Lattice parameters (Å, degrees): 4.9102 4.9102 4.7675 90.00 90.00 90.00
Last column: nearest neighbours and their distance in Å.
Space group P4/mmm (No. 123)
Inequivalent atoms, fractional coordinates:
Hg 0.0000 0.0000 0.0000 x1  8 Cl 3.42, 4 P 3.47
Mo 0.5000 0.5000 0.5000 x1  2 P 2.38, 4 Cl 2.46
P 0.5000 0.5000 0.0000 x1  2 Mo 2.38
Cl 0.0000 0.5000 0.5000 x2  2 Mo 2.46

Results
formation energy from raw total energies: -5.1 kJ/mol of formula units
calculated volume: 115 Å³ per cell
D(E_F): 2.52 states/eV/f.u.

***

# 6
Below is crystalline HgMoRh2Cl at its relaxed geometry, with properties calculated at the PBE level.

Lattice parameters (Å, degrees): 4.6766 4.6766 5.4791 90.00 90.00 90.00
Last column: nearest neighbours and their distance in Å.
Space group P4/mmm (No. 123)
Inequivalent atoms, fractional coordinates:
Hg 0.0000 0.0000 0.0000 x1  2 Mo 2.74
Mo 0.0000 0.0000 0.5000 x1  4 Rh 2.34
Rh 0.0000 0.5000 0.5000 x2  2 Mo 2.34
Cl 0.5000 0.5000 0.0000 x1  4 Hg 3.31, 8 Rh 3.60

Results
formation energy from raw total energies: 511.4 kJ/mol of formula units
calculated volume: 120 Å³ per cell
D(E_F): 5.41 states/eV/f.u.

***

# 7
Below is crystalline HgMoSCl2 at its relaxed geometry, with properties calculated at the PBE level.

Lattice parameters (Å, degrees): 5.0277 5.0277 4.6507 90.00 90.00 90.00
Last column: nearest neighbours and their distance in Å.
Space group P4/mmm (No. 123)
Inequivalent atoms, fractional coordinates:
Hg 0.0000 0.0000 0.0000 x1  8 Cl 3.42, 4 S 3.56
Mo 0.5000 0.5000 0.5000 x1  2 S 2.33, 4 Cl 2.51
S 0.5000 0.5000 0.0000 x1  2 Mo 2.33
Cl 0.0000 0.5000 0.5000 x2  2 Mo 2.51

Results
formation energy from raw total energies: -115.7 kJ/mol of formula units
calculated volume: 118 Å³ per cell
D(E_F): 1.53 states/eV/f.u.

***

# 8
Below is crystalline HgMoSCl2 at its relaxed geometry, with properties calculated at the PBE level.

Lattice parameters (Å, degrees): 5.1440 5.1440 5.1259 90.00 90.00 90.00
Last column: nearest neighbours and their distance in Å.
Space group P4/mmm (No. 123)
Inequivalent atoms, fractional coordinates:
Hg 0.0000 0.0000 0.0000 x1  2 S 2.56, 4 Cl 2.57
Mo 0.5000 0.5000 0.5000 x1  8 Cl 3.63, 4 S 3.64
S 0.0000 0.0000 0.5000 x1  2 Hg 2.56
Cl 0.0000 0.5000 0.0000 x2  2 Hg 2.57

Results
formation energy from raw total energies: 371.4 kJ/mol of formula units
calculated volume: 136 Å³ per cell
D(E_F): 3.87 states/eV/f.u.

***

# 9
Below is crystalline SiHgMoCl2 at its relaxed geometry, with properties calculated at the PBE level.

Lattice parameters (Å, degrees): 4.8902 4.8902 5.3351 90.00 90.00 90.00
Last column: nearest neighbours and their distance in Å.
Space group P4/mmm (No. 123)
Inequivalent atoms, fractional coordinates:
Si 0.0000 0.0000 0.0000 x1  4 Cl 2.45, 2 Mo 2.67
Hg 0.5000 0.5000 0.5000 x1  4 Mo 3.46, 8 Cl 3.62
Mo 0.0000 0.0000 0.5000 x1  2 Si 2.67
Cl 0.0000 0.5000 0.0000 x2  2 Si 2.45

Results
formation energy from raw total energies: 236.9 kJ/mol of formula units
calculated volume: 128 Å³ per cell
D(E_F): 2.09 states/eV/f.u.

***

# 10
Below is crystalline Ta2HgMoCl at its relaxed geometry, with properties calculated at the PBE level.

Lattice parameters (Å, degrees): 4.4527 4.4527 5.0976 90.00 90.00 90.00
Last column: nearest neighbours and their distance in Å.
Space group P4/mmm (No. 123)
Inequivalent atoms, fractional coordinates:
Ta 0.0000 0.5000 0.0000 x2  2 Cl 2.23
Hg 0.0000 0.0000 0.5000 x1  2 Cl 2.55
Mo 0.5000 0.5000 0.5000 x1  4 Hg 3.15, 8 Ta 3.38
Cl 0.0000 0.0000 0.0000 x1  4 Ta 2.23

Results
formation energy from raw total energies: 675.8 kJ/mol of formula units
calculated volume: 101 Å³ per cell
D(E_F): 5.61 states/eV/f.u.

***

# 11
Below is crystalline Hg2TeMoCl at its relaxed geometry, with properties calculated at the PBE level.

Lattice parameters (Å, degrees): 5.8243 5.8243 5.4255 90.00 90.00 90.00
Last column: nearest neighbours and their distance in Å.
Space group P4/mmm (No. 123)
Inequivalent atoms, fractional coordinates:
Hg 0.0000 0.5000 0.0000 x2  2 Te 2.91
Te 0.0000 0.0000 0.0000 x1  2 Cl 2.71, 4 Hg 2.91
Mo 0.5000 0.5000 0.5000 x1  8 Hg 3.98, 4 Cl 4.12
Cl 0.0000 0.0000 0.5000 x1  2 Te 2.71

Results
formation energy from raw total energies: 487.9 kJ/mol of formula units
calculated volume: 184 Å³ per cell
D(E_F): 1.49 states/eV/f.u.

***

# 12
Below is crystalline Tl2HgMoCl at its relaxed geometry, with properties calculated at the PBE level.

Lattice parameters (Å, degrees): 5.9428 5.9428 4.5830 90.00 90.00 90.00
Last column: nearest neighbours and their distance in Å.
Space group P4/mmm (No. 123)
Inequivalent atoms, fractional coordinates:
Tl 0.0000 0.5000 0.0000 x2  2 Cl 2.97
Hg 0.0000 0.0000 0.5000 x1  8 Tl 3.75, 4 Mo 4.20
Mo 0.5000 0.5000 0.5000 x1  2 Cl 2.29
Cl 0.5000 0.5000 0.0000 x1  2 Mo 2.29

Results
formation energy from raw total energies: 318.8 kJ/mol of formula units
calculated volume: 162 Å³ per cell
D(E_F): 3.36 states/eV/f.u.

***

# 13
Below is crystalline VHgMoCl2 at its relaxed geometry, with properties calculated at the PBE level.

Lattice parameters (Å, degrees): 4.6192 4.6192 5.7696 90.00 90.00 90.00
Last column: nearest neighbours and their distance in Å.
Space group P4/mmm (No. 123)
Inequivalent atoms, fractional coordinates:
V 0.0000 0.0000 0.0000 x1  4 Hg 3.27
Hg 0.5000 0.5000 0.0000 x1  2 Mo 2.88
Mo 0.5000 0.5000 0.5000 x1  4 Cl 2.31
Cl 0.0000 0.5000 0.5000 x2  2 Mo 2.31

Results
formation energy from raw total energies: 313.4 kJ/mol of formula units
calculated volume: 123 Å³ per cell
D(E_F): 7.54 states/eV/f.u.

***

# 14
Below is crystalline HgNCl3 at its relaxed geometry, with properties calculated at the PBE level.

Lattice parameters (Å, degrees): 4.5379 4.5379 4.5379 90.00 90.00 90.00
Last column: nearest neighbours and their distance in Å.
Space group Pm-3m (No. 221)
Inequivalent atoms, fractional coordinates:
Hg 0.0000 0.0000 0.0000 x1  12 Cl 3.21
N 0.5000 0.5000 0.5000 x1  6 Cl 2.27
Cl 0.0000 0.5000 0.5000 x3  2 N 2.27

Results
formation energy from raw total energies: 393.3 kJ/mol of formula units
calculated volume: 93 Å³ per cell
D(E_F): 2.15 states/eV/f.u.

***

# 15
Below is crystalline HgNCl at its relaxed geometry, with properties calculated at the PBE level.

Lattice parameters (Å, degrees): 4.0942 5.8375 8.6697 72.72 77.98 77.47
Last column: nearest neighbours and their distance in Å.
Space group P-1 (No. 2)
Inequivalent atoms, fractional coordinates:
Hg 0.2268 0.3524 0.4278 x2  1 Cl 2.46, 1 Hg 2.63
N 0.2303 0.7107 0.1154 x2  1 Hg 2.89
Cl 0.2560 0.8609 0.7037 x2  1 Hg 2.46

Results
formation energy from raw total energies: 401.6 kJ/mol of formula units
calculated volume: 191 Å³ per cell
D(E_F): 0.00 states/eV/f.u.

***

# 16
Below is crystalline Hg3NCl at its relaxed geometry, with properties calculated at the PBE level.

Lattice parameters (Å, degrees): 6.2255 6.8258 7.3631 105.24 91.51 98.00
Last column: nearest neighbours and their distance in Å.
Space group P-1 (No. 2)
Inequivalent atoms, fractional coordinates:
Hg 0.0070 0.1863 0.4442 x2  3 Hg 2.83-3.14
Hg 0.0122 0.5595 0.8013 x2  2 N 2.26-2.30
Hg 0.4225 0.2458 0.8900 x2  1 N 2.10
N 0.2564 0.4940 0.0011 x2  3 Hg 2.10-2.30
Cl 0.4665 0.0785 0.2654 x2  1 Hg 2.41

Results
formation energy from raw total energies: 196.0 kJ/mol of formula units
calculated volume: 298 Å³ per cell
D(E_F): 0.77 states/eV/f.u.

***

# 17
Below is crystalline HgN2Cl at its relaxed geometry, with properties calculated at the PBE level.

Lattice parameters (Å, degrees): 6.5030 6.5030 6.5030 90.00 90.00 90.00
Last column: nearest neighbours and their distance in Å.
Space group Fm-3m (No. 225)
Inequivalent atoms, fractional coordinates:
Hg 0.0000 0.0000 0.0000 x4  8 N 2.82
N 0.2500 0.2500 0.2500 x8  4 Hg 2.82, 4 Cl 2.82
Cl 0.0000 0.0000 0.5000 x4  8 N 2.82

Results
formation energy from raw total energies: 941.1 kJ/mol of formula units
calculated volume: 275 Å³ per cell
D(E_F): 0.17 states/eV/f.u.

***

# 18
Below is crystalline HgNCl3 at its relaxed geometry, with properties calculated at the PBE level.

Lattice parameters (Å, degrees): 4.1084 4.1084 7.8729 90.00 90.00 90.00
Last column: nearest neighbours and their distance in Å.
Space group P4/mmm (No. 123)
Inequivalent atoms, fractional coordinates:
Hg 0.0000 0.0000 0.0000 x1  2 Cl 2.37
N 0.5000 0.5000 0.5000 x1  8 Cl 3.30
Cl 0.0000 0.0000 0.3009 x2  1 Hg 2.37
Cl 0.5000 0.5000 0.0000 x1  4 Hg 2.91

Results
formation energy from raw total energies: 425.1 kJ/mol of formula units
calculated volume: 133 Å³ per cell
D(E_F): 8.27 states/eV/f.u.

***

# 19
Below is crystalline HgNCl3 at its relaxed geometry, with properties calculated at the PBE level.

Lattice parameters (Å, degrees): 5.1795 5.1795 5.1795 90.00 90.00 90.00
Last column: nearest neighbours and their distance in Å.
Space group Pm-3m (No. 221)
Inequivalent atoms, fractional coordinates:
Hg 0.0000 0.0000 0.0000 x1  6 Cl 2.59
N 0.5000 0.5000 0.5000 x1  12 Cl 3.66
Cl 0.0000 0.0000 0.5000 x3  2 Hg 2.59

Results
formation energy from raw total energies: 446.0 kJ/mol of formula units
calculated volume: 139 Å³ per cell
D(E_F): 7.67 states/eV/f.u.

***

# 20
Below is crystalline Hg3NCl at its relaxed geometry, with properties calculated at the PBE level.

Lattice parameters (Å, degrees): 4.8332 4.8332 4.8332 90.00 90.00 90.00
Last column: nearest neighbours and their distance in Å.
Space group Pm-3m (No. 221)
Inequivalent atoms, fractional coordinates:
Hg 0.0000 0.0000 0.5000 x3  2 N 2.42
N 0.0000 0.0000 0.0000 x1  6 Hg 2.42
Cl 0.5000 0.5000 0.5000 x1  12 Hg 3.42

Results
formation energy from raw total energies: 213.2 kJ/mol of formula units
calculated volume: 113 Å³ per cell
D(E_F): 1.75 states/eV/f.u.